A geometry-optimized Dy4Te3Ir structure. Source: the Alexandria database, functional GGA-PBE.

## Properties
V	34.54	A^3/atom
magnetic moment	0.004	μB per cell
distance to the lowest polymorph of the same formula	2.18	eV/f.u.
formation energy without anion corrections	-0.9282	eV/atom
E	-5.51	eV/atom

Unit cell a=6.0654 b=9.9809 c=9.1295 alpha=90.00 beta=90.00 gamma=90.00
Space group Pmmn (No. 59, origin choice 2)
Symmetry-distinct sites (fractional):
Dy  0.2500  0.0368  0.1914 [4 per cell]
Dy  0.2500  0.2500  0.6414 [2 per cell]
Dy  0.2500  0.7500  0.6480 [2 per cell]
Te  0.2500  0.0037  0.8494 [4 per cell]
Te  0.2500  0.7500  0.3104 [2 per cell]
Ir  0.2500  0.2500  0.3563 [2 per cell]

=====

A geometry-optimized Dy2TeIr structure. Source: the Alexandria database, functional GGA-PBE.

## Properties
V	26.90	A^3/atom
magnetic moment	0.000	μB per cell
distance to the lowest polymorph of the same formula	0.01	eV/f.u.
formation energy without anion corrections	-1.0278	eV/atom
E	-6.33	eV/atom

Unit cell a=4.1574 b=4.1574 c=21.5620 alpha=90.00 beta=90.00 gamma=120.00
Space group R3m (No. 160, hexagonal axes)
Symmetry-distinct sites (fractional):
Dy  0.0000  0.0000  0.0000 [3 per cell]
Dy  0.0000  0.0000  0.1960 [3 per cell]
Te  0.0000  0.0000  0.4323 [3 per cell]
Ir  0.0000  0.0000  0.5965 [3 per cell]

=====

A geometry-optimized Dy4Te3Ir structure. Source: the Alexandria database, functional GGA-PBE.

## Properties
V	28.72	A^3/atom
magnetic moment	0.000	μB per cell
distance to the lowest polymorph of the same formula	0.00	eV/f.u.
formation energy without anion corrections	-1.2006	eV/atom
E	-5.79	eV/atom

Unit cell a=8.8742 b=12.3063 c=4.2078 alpha=90.00 beta=90.00 gamma=90.00
Space group Cmmm (No. 65)
Symmetry-distinct sites (fractional):
Dy  0.0000  0.2276  0.0000 [4 per cell]
Dy  0.2087  0.0000  0.5000 [4 per cell]
Te  0.0000  0.5000  0.0000 [2 per cell]
Te  0.2500  0.2500  0.5000 [4 per cell]
Ir  0.0000  0.0000  0.0000 [2 per cell]

=====

A geometry-optimized Dy3Te2Ir structure. Source: the Alexandria database, functional GGA-PBE.

## Properties
V	28.04	A^3/atom
magnetic moment	0.000	μB per cell
distance to the lowest polymorph of the same formula	0.00	eV/f.u.
formation energy without anion corrections	-1.1731	eV/atom
E	-6.00	eV/atom

Unit cell a=8.6973 b=12.1891 c=25.3888 alpha=90.00 beta=90.00 gamma=90.00
Space group Fddd (No. 70, origin choice 2)
Symmetry-distinct sites (fractional):
Dy  0.0863  0.3750  0.3750 [16 per cell]
Dy  0.1046  0.3576  0.2159 [32 per cell]
Te  0.1250  0.1250  0.3803 [16 per cell]
Te  0.1250  0.1250  0.5462 [16 per cell]
Ir  0.1250  0.1250  0.0416 [16 per cell]

=====

A geometry-optimized Dy5Te2Ir structure. Source: the Alexandria database, functional GGA-PBE.

## Properties
V	34.77	A^3/atom
magnetic moment	0.002	μB per cell
distance to the lowest polymorph of the same formula	2.67	eV/f.u.
formation energy without anion corrections	-0.5729	eV/atom
E	-5.34	eV/atom

Unit cell a=5.5740 b=15.0526 c=13.2607 alpha=90.00 beta=90.00 gamma=90.00
Space group Cmcm (No. 63)
Symmetry-distinct sites (fractional):
Dy  0.0000  0.0842  0.1161 [8 per cell]
Dy  0.0000  0.2897  0.7500 [4 per cell]
Dy  0.0000  0.3075  0.0540 [8 per cell]
Te  0.0000  0.1235  0.6072 [8 per cell]
Ir  0.0000  0.2163  0.2500 [4 per cell]

=====

A geometry-optimized Dy7Te2Ir2 structure. Source: the Alexandria database, functional GGA-PBE.

## Properties
V	26.91	A^3/atom
magnetic moment	0.000	μB per cell
formation energy without anion corrections	-0.9177	eV/atom
E	-6.03	eV/atom

Unit cell a=3.9361 b=15.8221 c=9.5063 alpha=90.00 beta=90.00 gamma=90.00
Space group Imm2 (No. 44)
Symmetry-distinct sites (fractional):
Dy  0.0000  0.0000  0.0000 [2 per cell]
Dy  0.0000  0.1311  0.5820 [4 per cell]
Dy  0.0000  0.3161  0.3733 [4 per cell]
Dy  0.0000  0.3531  0.7318 [4 per cell]
Te  0.0000  0.0000  0.3358 [2 per cell]
Te  0.0000  0.5000  0.2368 [2 per cell]
Ir  0.0000  0.2387  0.0724 [4 per cell]

=====

A geometry-optimized Dy2TeIr structure. Source: the Alexandria database, functional GGA-PBE.

## Properties
V	26.69	A^3/atom
magnetic moment	0.000	μB per cell
distance to the lowest polymorph of the same formula	0.00	eV/f.u.
formation energy without anion corrections	-1.0294	eV/atom
E	-6.33	eV/atom

Unit cell a=4.1306 b=4.1306 c=21.6758 alpha=90.00 beta=90.00 gamma=120.00
Space group R-3m (No. 166, hexagonal axes)
Symmetry-distinct sites (fractional):
Dy  0.0000  0.0000  0.2359 [6 per cell]
Te  0.0000  0.0000  0.0000 [3 per cell]
Ir  0.0000  0.0000  0.5000 [3 per cell]

=====

A geometry-optimized Dy5Te2Ir structure. Source: the Alexandria database, functional GGA-PBE.

## Properties
V	27.76	A^3/atom
magnetic moment	0.000	μB per cell
distance to the lowest polymorph of the same formula	0.00	eV/f.u.
formation energy without anion corrections	-0.9064	eV/atom
E	-5.68	eV/atom

Unit cell a=8.1877 b=13.1262 c=4.1323 alpha=90.00 beta=90.00 gamma=90.00
Space group Pbam (No. 55)
Symmetry-distinct sites (fractional):
Dy  0.0000  0.0000  0.0000 [2 per cell]
Dy  0.1633  0.3150  0.0000 [4 per cell]
Dy  0.1702  0.5843  0.5000 [4 per cell]
Te  0.0408  0.8217  0.5000 [4 per cell]
Ir  0.0000  0.5000  0.0000 [2 per cell]

=====

A geometry-optimized Dy3Te2Ir structure. Source: the Alexandria database, functional GGA-PBE.

## Properties
V	30.65	A^3/atom
magnetic moment	0.004	μB per cell
distance to the lowest polymorph of the same formula	0.90	eV/f.u.
formation energy without anion corrections	-1.0235	eV/atom
E	-5.85	eV/atom

Unit cell a=6.0095 b=14.6578 c=4.1751 alpha=90.00 beta=90.00 gamma=90.00
Space group Cmmm (No. 65)
Symmetry-distinct sites (fractional):
Dy  0.0000  0.0000  0.0000 [2 per cell]
Dy  0.0000  0.3771  0.5000 [4 per cell]
Te  0.0000  0.1601  0.5000 [4 per cell]
Ir  0.0000  0.5000  0.0000 [2 per cell]

=====

A geometry-optimized Dy2TeIr structure. Source: the Alexandria database, functional GGA-PBE.

## Properties
V	23.93	A^3/atom
magnetic moment	0.000	μB per cell
distance to the lowest polymorph of the same formula	0.49	eV/f.u.
formation energy without anion corrections	-0.9074	eV/atom
E	-6.21	eV/atom

Unit cell a=3.6022 b=3.6022 c=7.3772 alpha=90.00 beta=90.00 gamma=90.00
Space group P4/mmm (No. 123)
Symmetry-distinct sites (fractional):
Dy  0.0000  0.0000  0.2214 [2 per cell]
Te  0.5000  0.5000  0.5000 [1 per cell]
Ir  0.5000  0.5000  0.0000 [1 per cell]

=====

A geometry-optimized Dy5ThIr6 structure. Source: the Alexandria database, functional GGA-PBE.

## Properties
V	20.66	A^3/atom
magnetic moment	0.000	μB per cell
energy of formation from the pure elements	-0.819	eV per atom
E	-7.79	eV/atom

Unit cell a=4.8218 b=14.4462 c=7.1197 alpha=90.00 beta=90.00 gamma=90.00
Space group Cmmm (No. 65)
Symmetry-distinct sites (fractional):
Dy  0.0000  0.0000  0.0000 [2 per cell]
Dy  0.0000  0.3297  0.5000 [4 per cell]
Dy  0.0000  0.3325  0.0000 [4 per cell]
Th  0.0000  0.0000  0.5000 [2 per cell]
Ir  0.0000  0.1656  0.2489 [8 per cell]
Ir  0.0000  0.5000  0.2489 [4 per cell]

=====

A geometry-optimized DyTh3Ir8 structure. Source: the Alexandria database, functional GGA-PBE.

## Properties
V	18.90	A^3/atom
magnetic moment	0.000	μB per cell
energy of formation from the pure elements	-0.813	eV per atom
E	-8.96	eV/atom

Unit cell a=5.4324 b=5.4324 c=26.6287 alpha=90.00 beta=90.00 gamma=120.00
Space group R3m (No. 160, hexagonal axes)
Symmetry-distinct sites (fractional):
Dy  0.0000  0.0000  0.0000 [3 per cell]
Th  0.0000  0.0000  0.1242 [3 per cell]
Th  0.0000  0.0000  0.5022 [3 per cell]
Th  0.0000  0.0000  0.6280 [3 per cell]
Ir  0.0000  0.0000  0.3139 [3 per cell]
Ir  0.0000  0.0000  0.8136 [3 per cell]
Ir  0.0001  0.5001  0.5640 [9 per cell]
Ir  0.0012  0.5006  0.0632 [9 per cell]

=====

A geometry-optimized Dy2ThIr structure. Source: the Alexandria database, functional GGA-PBE.

## Properties
V	27.88	A^3/atom
magnetic moment	0.000	μB per cell
energy of formation from the pure elements	-0.559	eV per atom
distance to the lowest polymorph of the same formula	0.00	eV/f.u.
E	-6.93	eV/atom

Unit cell a=7.1581 b=9.6456 c=6.4598 alpha=90.00 beta=90.00 gamma=90.00
Space group Pnma (No. 62)
Symmetry-distinct sites (fractional):
Dy  0.1768  0.0655  0.1671 [8 per cell]
Th  0.0386  0.2500  0.6528 [4 per cell]
Ir  0.1261  0.7500  0.9476 [4 per cell]

=====

A geometry-optimized Dy5ThIr4 structure. Source: the Alexandria database, functional GGA-PBE.

## Properties
V	26.24	A^3/atom
magnetic moment	0.000	μB per cell
energy of formation from the pure elements	-0.734	eV per atom
E	-7.32	eV/atom

Unit cell a=18.1276 b=4.2179 c=7.5368 alpha=90.00 beta=114.42 gamma=90.00
Space group C2/m (No. 12)
Symmetry-distinct sites (fractional):
Dy  0.0000  0.0000  0.0000 [2 per cell]
Dy  0.1669  0.5000  0.4255 [4 per cell]
Dy  0.1666  0.5000  0.9097 [4 per cell]
Th  0.0000  0.0000  0.5000 [2 per cell]
Ir  0.0003  0.5000  0.2417 [4 per cell]
Ir  0.1968  0.0000  0.6975 [4 per cell]

=====

A geometry-optimized Dy3ThIr3 structure. Source: the Alexandria database, functional GGA-PBE.

## Properties
V	25.26	A^3/atom
magnetic moment	0.000	μB per cell
energy of formation from the pure elements	-0.780	eV per atom
E	-7.61	eV/atom

Unit cell a=8.4896 b=8.4896 c=16.9947 alpha=90.00 beta=90.00 gamma=120.00
Space group R-3 (No. 148, hexagonal axes)
Symmetry-distinct sites (fractional):
Dy  0.0142  0.2790  0.1035 [18 per cell]
Th  0.0000  0.0000  0.3284 [6 per cell]
Ir  0.0068  0.3758  0.9373 [18 per cell]

=====

A geometry-optimized Dy2ThIr structure. Source: the Alexandria database, functional GGA-PBE.

## Properties
V	30.34	A^3/atom
magnetic moment	0.000	μB per cell
energy of formation from the pure elements	-0.078	eV per atom
distance to the lowest polymorph of the same formula	1.92	eV/f.u.
E	-6.45	eV/atom

Unit cell a=3.6416 b=3.6416 c=31.7027 alpha=90.00 beta=90.00 gamma=120.00
Space group R-3m (No. 166, hexagonal axes)
Symmetry-distinct sites (fractional):
Dy  0.0000  0.0000  0.1112 [6 per cell]
Th  0.0000  0.0000  0.0000 [3 per cell]
Ir  0.0000  0.0000  0.5000 [3 per cell]

=====

A geometry-optimized DyTh2Ir9 structure. Source: the Alexandria database, functional GGA-PBE.

## Properties
V	18.38	A^3/atom
magnetic moment	0.000	μB per cell
energy of formation from the pure elements	-0.624	eV per atom
E	-8.89	eV/atom

Unit cell a=5.3420 b=5.3420 c=26.7801 alpha=90.00 beta=90.00 gamma=120.00
Space group R-3m (No. 166, hexagonal axes)
Symmetry-distinct sites (fractional):
Dy  0.0000  0.0000  0.0000 [3 per cell]
Th  0.0000  0.0000  0.1378 [6 per cell]
Ir  0.0000  0.0000  0.3327 [6 per cell]
Ir  0.0000  0.0000  0.5000 [3 per cell]
Ir  0.0001  0.5000  0.0811 [18 per cell]

=====

A geometry-optimized Dy2ThIr structure. Source: the Alexandria database, functional GGA-PBE.

## Properties
V	26.20	A^3/atom
magnetic moment	0.000	μB per cell
energy of formation from the pure elements	-0.389	eV per atom
distance to the lowest polymorph of the same formula	0.68	eV/f.u.
E	-6.76	eV/atom

Unit cell a=3.4939 b=3.4939 c=8.5851 alpha=90.00 beta=90.00 gamma=90.00
Space group P4/mmm (No. 123)
Symmetry-distinct sites (fractional):
Dy  0.0000  0.0000  0.1909 [2 per cell]
Th  0.5000  0.5000  0.5000 [1 per cell]
Ir  0.5000  0.5000  0.0000 [1 per cell]

=====

A geometry-optimized DyThTlIr structure. Source: the Alexandria database, functional GGA-PBE.

## Properties
V	29.06	A^3/atom
magnetic moment	0.000	μB per cell
energy of formation from the pure elements	-0.564	eV per atom
E	-6.38	eV/atom

Unit cell a=4.0811 b=4.0811 c=24.1765 alpha=90.00 beta=90.00 gamma=120.00
Space group R3m (No. 160, hexagonal axes)
Symmetry-distinct sites (fractional):
Dy  0.0000  0.0000  0.0000 [3 per cell]
Th  0.0000  0.0000  0.2061 [3 per cell]
Tl  0.0000  0.0000  0.7660 [3 per cell]
Ir  0.0000  0.0000  0.6026 [3 per cell]

=====

A geometry-optimized DyTi4Ir5 structure. Source: the Alexandria database, functional GGA-PBE.

## Properties
V	16.13	A^3/atom
magnetic moment	0.000	μB per cell
energy of formation from the pure elements	-0.814	eV per atom
E	-8.86	eV/atom

Unit cell a=3.1137 b=3.1137 c=16.6323 alpha=90.00 beta=90.00 gamma=90.00
Space group P4/mmm (No. 123)
Symmetry-distinct sites (fractional):
Dy  0.0000  0.0000  0.0000 [1 per cell]
Ti  0.0000  0.0000  0.2170 [2 per cell]
Ti  0.0000  0.0000  0.4069 [2 per cell]
Ir  0.5000  0.5000  0.1306 [2 per cell]
Ir  0.5000  0.5000  0.3160 [2 per cell]
Ir  0.5000  0.5000  0.5000 [1 per cell]